## 1
The following is a DFT calculation (PBE) of a geometry-optimized Ga2PtAu structure.

a b c (Å): 3.8576 3.9231 6.6648
angles (deg): 125.32 75.73 115.92
Last column: nearest neighbours and their distance in Å.
Sites, in units of the cell vectors:
Ga  0.3699  0.1215  0.2758  3 Pt 2.60, 3 Au 2.72-2.78
Ga  0.6764  0.3841  0.8273  3 Pt 2.60, 3 Au 2.73-2.78
Pt  0.0232  0.2528  0.0515  6 Ga 2.60, 2 Au 2.72
Au  0.0232  0.7528  0.5515  2 Pt 2.72, 6 Ga 2.72-2.78

Summary:
As for the space-group type: P-1 (2). The volume comes out at 18.5 Å³/atom.

## 2
The following is a DFT calculation (PBE) of a geometry-optimized Ga2PtAu structure.

a b c (Å): 5.9044 5.9044 6.9383
angles (deg): 64.82 64.82 90.00
Last column: nearest neighbours and their distance in Å.
Sites, in units of the cell vectors:
Au  0.0000  0.0000  0.0000  4 Ga 2.57
Au  0.7500  0.2500  0.5000  4 Ga 2.57
Ga  0.6058  0.1250  0.2500  2 Pt 2.44, 2 Au 2.57
Ga  0.1442  0.6250  0.2500  2 Pt 2.44, 2 Au 2.57
Ga  0.3750  0.3942  0.7500  2 Pt 2.44, 2 Au 2.57
Ga  0.8750  0.8558  0.7500  2 Pt 2.44, 2 Au 2.57
Pt  0.5000  0.5000  0.0000  4 Ga 2.44
Pt  0.2500  0.7500  0.5000  4 Ga 2.44

Summary:
As for the space-group type: I-42d (122). The volume comes out at 24.1 Å³/atom.

## 3
The following is a DFT calculation (PBE) of a geometry-optimized Ga2PtAu structure.

a b c (Å): 3.5495 6.2751 12.5351
angles (deg): 90.00 90.00 90.00
Last column: nearest neighbours and their distance in Å.
Sites, in units of the cell vectors:
Ga  0.2500  0.3296  0.2152  3 Pt 2.56-2.59, 3 Au 2.73-2.79
Ga  0.2500  0.1704  0.7152  3 Pt 2.56-2.59, 3 Au 2.73-2.79
Ga  0.7500  0.6704  0.7848  3 Pt 2.56-2.59, 3 Au 2.73-2.79
Ga  0.7500  0.8296  0.2848  3 Pt 2.56-2.59, 3 Au 2.73-2.79
Ga  0.2500  0.6708  0.4537  3 Pt 2.52-2.59, 1 Au 2.62
Ga  0.2500  0.8292  0.9537  3 Pt 2.52-2.59, 1 Au 2.62
Ga  0.7500  0.3292  0.5463  3 Pt 2.52-2.59, 1 Au 2.62
Ga  0.7500  0.1708  0.0463  3 Pt 2.52-2.59, 1 Au 2.62
Pt  0.2500  0.5540  0.6460  6 Ga 2.52-2.59
Pt  0.2500  0.9460  0.1460  6 Ga 2.52-2.59
Pt  0.7500  0.4460  0.3540  6 Ga 2.52-2.59
Pt  0.7500  0.0540  0.8540  6 Ga 2.52-2.59
Au  0.2500  0.0721  0.3971  4 Ga 2.62-2.79
Au  0.2500  0.4279  0.8971  4 Ga 2.62-2.79
Au  0.7500  0.9279  0.6029  4 Ga 2.62-2.79
Au  0.7500  0.5721  0.1029  4 Ga 2.62-2.79

Summary:
As for the space-group type: Pnma (62). The volume comes out at 17.4 Å³/atom.

## 4
The following is a DFT calculation (PBE) of a geometry-optimized Ga2PtAu structure.

a b c (Å): 3.2211 3.2211 6.3245
angles (deg): 90.00 90.00 90.00
Last column: nearest neighbours and their distance in Å.
Sites, in units of the cell vectors:
Au  0.5000  0.5000  0.5000  8 Ga 2.84, 2 Pt 3.16
Ga  0.0000  0.0000  0.7676  4 Pt 2.71, 4 Au 2.84, 1 Ga 2.94
Ga  0.0000  0.0000  0.2324  4 Pt 2.71, 4 Au 2.84, 1 Ga 2.94
Pt  0.5000  0.5000  0.0000  8 Ga 2.71

Summary:
As for the space-group type: P4/mmm (123). The volume comes out at 16.4 Å³/atom.

Most stable: 1

## 1
The following is a DFT calculation (PBE) of a geometry-optimized Ga3PtAu structure.

a b c (Å): 3.3129 8.2465 6.9117
angles (deg): 90.00 90.00 90.00
Last column: nearest neighbours and their distance in Å.
Sites, in units of the cell vectors:
Ga  0.2500  0.4431  0.1571  3 Pt 2.62-2.75, 2 Au 2.71, 2 Ga 2.89
Ga  0.7500  0.5569  0.8429  3 Pt 2.62-2.75, 2 Au 2.71, 2 Ga 2.89
Ga  0.2500  0.0569  0.1571  3 Pt 2.62-2.75, 2 Au 2.71, 2 Ga 2.89
Ga  0.7500  0.9431  0.8429  3 Pt 2.62-2.75, 2 Au 2.71, 2 Ga 2.89
Ga  0.2500  0.2500  0.6568  2 Pt 2.56, 2 Au 2.62
Ga  0.7500  0.7500  0.3432  2 Pt 2.56, 2 Au 2.62
Pt  0.7500  0.2500  0.9383  8 Ga 2.56-2.75
Pt  0.2500  0.7500  0.0617  8 Ga 2.56-2.75
Au  0.7500  0.2500  0.3640  6 Ga 2.62-2.71
Au  0.2500  0.7500  0.6360  6 Ga 2.62-2.71

Summary:
As for the space-group type: Pmmn (59). The volume comes out at 18.9 Å³/atom.

## 2
The following is a DFT calculation (PBE) of a geometry-optimized Ga3PtAu structure.

a b c (Å): 4.8351 4.8351 4.8351
angles (deg): 90.00 90.00 90.00
Last column: nearest neighbours and their distance in Å.
Sites, in units of the cell vectors:
Au  0.5000  0.5000  0.5000  12 Ga 3.42
Ga  0.0000  0.5000  0.0000  2 Pt 2.42
Ga  0.0000  0.0000  0.5000  2 Pt 2.42
Ga  0.5000  0.0000  0.0000  2 Pt 2.42
Pt  0.0000  0.0000  0.0000  6 Ga 2.42

Summary:
As for the space-group type: Pm-3m (221). The volume comes out at 22.6 Å³/atom.

Most stable: 1

## 1
The following is a DFT calculation (PBE) of a geometry-optimized GaPtAu structure.

a b c (Å): 4.2385 4.2385 4.2385
angles (deg): 60.00 60.00 60.00
Last column: nearest neighbours and their distance in Å.
Sites, in units of the cell vectors:
Au  0.5000  0.5000  0.5000  4 Ga 2.60
Ga  0.2500  0.2500  0.2500  4 Au 2.60, 4 Pt 2.60
Pt  0.0000  0.0000  0.0000  4 Ga 2.60

Summary:
As for the space-group type: F-43m (216). The volume comes out at 17.9 Å³/atom.

## 2
The following is a DFT calculation (PBE) of a geometry-optimized GaPtAu structure.

a b c (Å): 3.1973 4.2726 4.2726
angles (deg): 120.00 90.00 90.00
Last column: nearest neighbours and their distance in Å.
Sites, in units of the cell vectors:
Au  0.3033  0.3333  0.6667  3 Ga 2.76, 6 Pt 2.90-2.98
Ga  0.9154  0.0000  0.0000  3 Pt 2.50, 3 Au 2.76
Pt  0.7813  0.6667  0.3333  3 Ga 2.50

Summary:
As for the space-group type: P3m1 (156). The volume comes out at 16.8 Å³/atom.

Most stable: 2

## 1
The following is a DFT calculation (PBE) of a geometry-optimized Ga2Pt2Au structure.

a b c (Å): 3.8084 3.8084 6.5379
angles (deg): 73.07 73.07 90.00
Last column: nearest neighbours and their distance in Å.
Sites, in units of the cell vectors:
Au  0.0000  0.0000  0.0000  8 Pt 3.00
Ga  0.7500  0.2500  0.5000  4 Pt 2.52, 4 Ga 2.69
Ga  0.2500  0.7500  0.5000  4 Pt 2.52, 4 Ga 2.69
Pt  0.3890  0.3890  0.2221  4 Ga 2.52, 1 Pt 2.65
Pt  0.6110  0.6110  0.7779  4 Ga 2.52, 1 Pt 2.65

Summary:
As for the space-group type: I4/mmm (139). The volume comes out at 17.3 Å³/atom.

## 2
The following is a DFT calculation (PBE) of a geometry-optimized Ga2Pt2Au structure.

a b c (Å): 7.5180 7.5180 2.8624
angles (deg): 90.00 90.00 90.00
Last column: nearest neighbours and their distance in Å.
Sites, in units of the cell vectors:
Au  0.0000  0.0000  0.0000  2 Au 2.86, 4 Pt 2.89, 8 Ga 3.18
Au  0.5000  0.5000  0.0000  2 Au 2.86, 4 Pt 2.89, 8 Ga 3.18
Ga  0.1565  0.6565  0.5000  6 Pt 2.57-2.67, 2 Ga 2.86
Ga  0.6565  0.8435  0.5000  6 Pt 2.57-2.67, 2 Ga 2.86
Ga  0.8435  0.3435  0.5000  6 Pt 2.57-2.67, 2 Ga 2.86
Ga  0.3435  0.1565  0.5000  6 Pt 2.57-2.67, 2 Ga 2.86
Pt  0.3578  0.8578  0.0000  6 Ga 2.57-2.67, 2 Pt 2.86
Pt  0.8578  0.6422  0.0000  6 Ga 2.57-2.67, 2 Pt 2.86
Pt  0.6422  0.1422  0.0000  6 Ga 2.57-2.67, 2 Pt 2.86
Pt  0.1422  0.3578  0.0000  6 Ga 2.57-2.67, 2 Pt 2.86

Summary:
As for the space-group type: P4/mbm (127). The volume comes out at 16.2 Å³/atom.

Most stable: 2

## 1
The following is a DFT calculation (PBE) of a geometry-optimized Pu2Ga3Au5 structure.

a b c (Å): 4.5904 7.0204 12.8034
angles (deg): 90.00 100.33 90.00
Last column: nearest neighbours and their distance in Å.
Sites, in units of the cell vectors:
Pu  0.4831  0.7369  0.9663  6 Au 3.04-3.35, 6 Ga 3.11-3.31
Pu  0.1744  0.7439  0.3487  10 Au 3.20-3.58, 5 Ga 3.20-3.37
Pu  0.8256  0.2439  0.6513  10 Au 3.20-3.58, 5 Ga 3.20-3.37
Pu  0.5169  0.2369  0.0337  6 Au 3.04-3.35, 6 Ga 3.11-3.31
Ga  0.7715  0.7318  0.5431  7 Au 2.60-2.81
Ga  0.6038  0.5512  0.2075  4 Au 2.58-2.71
Ga  0.0510  0.9311  0.1021  5 Au 2.66-2.75
Ga  0.2285  0.2318  0.4569  7 Au 2.60-2.81
Ga  0.9490  0.4311  0.8979  5 Au 2.66-2.75
Ga  0.3962  0.0512  0.7925  4 Au 2.58-2.71
Au  0.3960  0.4369  0.7919  3 Ga 2.66-2.71, 1 Au 2.80
Au  0.2883  0.5337  0.5765  3 Ga 2.60-2.72, 2 Au 2.80-2.88
Au  0.7117  0.0337  0.4235  3 Ga 2.60-2.72, 2 Au 2.80-2.88
Au  0.1221  0.2181  0.2442  2 Ga 2.68-2.70, 1 Au 2.87
Au  0.2985  0.9420  0.5970  4 Ga 2.58-2.81, 1 Au 2.88
Au  0.9486  0.0392  0.8971  4 Ga 2.65-2.75, 1 Au 2.87
Au  0.7015  0.4420  0.4030  4 Ga 2.58-2.81, 1 Au 2.88
Au  0.8779  0.7181  0.7558  2 Ga 2.68-2.70, 1 Au 2.87
Au  0.0514  0.5392  0.1029  4 Ga 2.65-2.75, 1 Au 2.87
Au  0.6040  0.9369  0.2081  3 Ga 2.66-2.71, 1 Au 2.80

Summary:
As for the space-group type: Cmc2_1 (36). The volume comes out at 20.3 Å³/atom.

## 2
The following is a DFT calculation (PBE) of a geometry-optimized Pu2Ga3Au5 structure.

a b c (Å): 4.2034 4.2034 11.8739
angles (deg): 90.00 90.00 90.00
Last column: nearest neighbours and their distance in Å.
Sites, in units of the cell vectors:
Pu  0.5000  0.0000  0.2518  4 Au 3.17, 4 Ga 3.29
Pu  0.0000  0.5000  0.7482  4 Au 3.17, 4 Ga 3.29
Ga  0.5000  0.0000  0.6303  3 Au 2.50-2.61, 2 Ga 2.61
Ga  0.0000  0.5000  0.3697  3 Au 2.50-2.61, 2 Ga 2.61
Ga  0.0000  0.0000  0.5000  4 Ga 2.61
Au  0.5000  0.5000  0.0000  8 Au 2.83-2.97
Au  0.0000  0.0000  0.0000  8 Au 2.83-2.97
Au  0.5000  0.0000  0.8404  1 Ga 2.50
Au  0.0000  0.5000  0.1596  1 Ga 2.50
Au  0.5000  0.5000  0.5000  4 Ga 2.61

Summary:
As for the space-group type: P-4m2 (115). The volume comes out at 21.0 Å³/atom.

Most stable: 1